A plane-wave DFT calculation with GGA+U was carried out for an optimized crystal structure of BeCoSO.

Cell and atoms, written as POSCAR:
```
BeCoSO
1.0
4.843 0.000 0.000
0.000 6.731 0.000
0.000 0.000 6.798
Be Co S O
4 4 4 4
direct
0.054 0.204 0.081
0.446 0.796 0.581
0.554 0.296 0.919
0.946 0.704 0.419
0.031 0.566 0.875
0.469 0.434 0.375
0.531 0.934 0.125
0.969 0.066 0.625
0.249 0.127 0.344
0.251 0.873 0.844
0.749 0.373 0.656
0.751 0.627 0.156
0.249 0.338 0.959
0.251 0.662 0.459
0.749 0.162 0.041
0.751 0.838 0.541
```

Summary:
**E above lowest polymorph**: 0.51 eV/f.u.